Entry 1:
ScBN2O: optimized geometry, PBE-GGA.

a b c (Å): 4.336 4.336 4.008
angles (deg): 90.00 90.00 90.00
Sites, in units of the cell vectors:
N1 0.000 0.500 0.000
N2 0.500 0.000 0.000
O1 0.000 0.000 0.500
Sc1 0.000 0.000 0.000
B1 0.500 0.500 0.500

## Properties
- V: 15.1 A^3/atom
- Raw formation energy: 1.26 eV per atom

Entry 2:
ScBN2O: optimized geometry, PBE-GGA.

a b c (Å): 3.092 3.092 4.616
angles (deg): 90.00 90.00 90.00
Sites, in units of the cell vectors:
B1 0.000 0.000 0.000
N1 0.500 0.000 0.000
N2 0.000 0.500 0.000
Sc1 0.500 0.500 0.500
O1 0.000 0.000 0.500

## Properties
- V: 8.8 A^3/atom
- Raw formation energy: -0.62 eV per atom

Entry 3:
SiBNO2: optimized geometry, PBE-GGA.

a b c (Å): 2.925 2.925 6.012
angles (deg): 90.00 90.00 90.00
Sites, in units of the cell vectors:
Si1 0.500 0.500 0.500
O1 0.500 0.000 0.000
O2 0.000 0.500 0.000
N1 0.000 0.000 0.500
B1 0.000 0.000 0.000

## Properties
- V: 10.3 A^3/atom
- Raw formation energy: -0.19 eV per atom

Entry 4:
SiBN2O: optimized geometry, PBE-GGA.

a b c (Å): 3.660 3.660 3.356
angles (deg): 90.00 90.00 90.00
Sites, in units of the cell vectors:
B1 0.500 0.500 0.500
O1 0.000 0.000 0.500
N1 0.500 0.000 0.000
N2 0.000 0.500 0.000
Si1 0.000 0.000 0.000

## Properties
- V: 9.0 A^3/atom
- Raw formation energy: 0.96 eV per atom

Entry 5:
SiBNO2: optimized geometry, PBE-GGA.

a b c (Å): 3.306 3.306 4.124
angles (deg): 90.00 90.00 90.00
Sites, in units of the cell vectors:
O1 0.500 0.000 0.000
O2 0.000 0.500 0.000
Si1 0.000 0.000 0.000
B1 0.500 0.500 0.500
N1 0.000 0.000 0.500

## Properties
- V: 9.0 A^3/atom
- Raw formation energy: 0.15 eV per atom

Entry 6:
SiBN2O: optimized geometry, PBE-GGA.

a b c (Å): 3.015 3.015 5.748
angles (deg): 90.00 90.00 90.00
Sites, in units of the cell vectors:
Si1 0.500 0.500 0.500
O1 0.000 0.000 0.500
N1 0.000 0.500 0.000
N2 0.500 0.000 0.000
B1 0.000 0.000 0.000

## Properties
- V: 10.5 A^3/atom
- Raw formation energy: 0.62 eV per atom

Entry 7:
SnBN2O: optimized geometry, PBE-GGA.

a b c (Å): 3.173 3.173 5.352
angles (deg): 90.00 90.00 90.00
Sites, in units of the cell vectors:
N1 0.500 0.000 0.000
N2 0.000 0.500 0.000
Sn1 0.500 0.500 0.500
O1 0.000 0.000 0.500
B1 0.000 0.000 0.000

## Properties
- V: 10.8 A^3/atom
- Raw formation energy: 0.51 eV per atom

Entry 8:
SnBN2O: optimized geometry, PBE-GGA.

a b c (Å): 4.252 4.252 4.048
angles (deg): 90.00 90.00 90.00
Sites, in units of the cell vectors:
O1 0.000 0.000 0.500
B1 0.500 0.500 0.500
N1 0.000 0.500 0.000
N2 0.500 0.000 0.000
Sn1 0.000 0.000 0.000

## Properties
- V: 14.6 A^3/atom
- Raw formation energy: 1.83 eV per atom

Entry 9:
SrBN2O: optimized geometry, PBE-GGA.

a b c (Å): 5.043 5.043 4.573
angles (deg): 90.00 90.00 90.00
Sites, in units of the cell vectors:
Sr1 0.000 0.000 0.000
N1 0.500 0.000 0.000
N2 0.000 0.500 0.000
O1 0.000 0.000 0.500
B1 0.500 0.500 0.500

## Properties
- V: 23.3 A^3/atom
- Raw formation energy: 2.21 eV per atom

Entry 10:
SrBNO: optimized geometry, PBE-GGA.

a b c (Å): 7.921 6.643 13.551
angles (deg): 62.35 90.00 90.00
Sites, in units of the cell vectors:
Sr1 0.635 0.956 0.895
Sr2 0.865 0.956 0.395
Sr3 0.613 0.031 0.614
Sr4 0.135 0.044 0.605
Sr5 0.877 0.436 0.679
Sr6 0.887 0.031 0.114
Sr7 0.123 0.564 0.321
Sr8 0.387 0.969 0.386
Sr9 0.113 0.969 0.886
Sr10 0.365 0.044 0.105
Sr11 0.623 0.436 0.179
Sr12 0.377 0.564 0.821
O1 0.824 0.723 0.055
O2 0.084 0.731 0.542
O3 0.584 0.269 0.958
O4 0.676 0.723 0.555
O5 0.416 0.731 0.042
O6 0.127 0.998 0.260
O7 0.373 0.998 0.760
O8 0.176 0.277 0.945
O9 0.916 0.269 0.458
O10 0.873 0.002 0.740
O11 0.627 0.002 0.240
O12 0.324 0.277 0.445
N1 0.540 0.351 0.680
N2 0.289 0.356 0.176
N3 0.122 0.730 0.099
N4 0.622 0.270 0.401
N5 0.960 0.351 0.180
N6 0.211 0.356 0.676
N7 0.040 0.649 0.820
N8 0.378 0.730 0.599
N9 0.711 0.644 0.824
N10 0.460 0.649 0.320
N11 0.878 0.270 0.901
N12 0.789 0.644 0.324
B1 0.467 0.402 0.389
B2 0.033 0.402 0.889
B3 0.722 0.398 0.894
B4 0.626 0.758 0.294
B5 0.778 0.398 0.394
B6 0.126 0.242 0.206
B7 0.533 0.598 0.611
B8 0.222 0.602 0.606
B9 0.874 0.758 0.794
B10 0.374 0.242 0.706
B11 0.967 0.598 0.111
B12 0.278 0.602 0.106

## Properties
- V: 13.2 A^3/atom
- Raw formation energy: -1.98 eV per atom

Entry 11:
SrBN2O: optimized geometry, PBE-GGA.

a b c (Å): 3.251 3.251 5.484
angles (deg): 90.00 90.00 90.00
Sites, in units of the cell vectors:
Sr1 0.500 0.500 0.500
O1 0.000 0.000 0.500
N1 0.000 0.500 0.000
N2 0.500 0.000 0.000
B1 0.000 0.000 0.000

## Properties
- V: 11.6 A^3/atom
- Raw formation energy: -0.03 eV per atom

Entry 12:
TaBN2O: optimized geometry, PBE-GGA.

a b c (Å): 3.477 3.477 3.191
angles (deg): 90.00 90.00 90.00
Sites, in units of the cell vectors:
N1 0.500 0.000 0.000
N2 0.000 0.500 0.000
B1 0.000 0.000 0.000
O1 0.000 0.000 0.500
Ta1 0.500 0.500 0.500

## Properties
- V: 7.7 A^3/atom
- Raw formation energy: -0.13 eV per atom